Li3FeCo3O8, optimized geometry, DFT PBE+U; energy above the most stable polymorph in this dataset = 0 meV per atom; crystal system = trigonal; theoretical density = 4.3 g/cm3; calculated total energy = -85.1 eV per cell; DOS at the Fermi energy = 6.03 states/eV/f.u.
1.0
1.9914 3.4194 -4.4890
-3.6519 3.6922 -2.9731
0.4362 5.9423 0.5543
Li Fe Co O
3 1 3 8
Cartesian
0.9957 1.7097 -2.2445 Li
-1.8259 1.8461 -1.4866 Li
0.2181 2.9711 0.2772 Li
0.0000 0.0000 0.0000 Fe
-0.8303 3.5558 -3.7311 Co
-1.6078 4.8173 -1.2094 Co
1.2138 4.6808 -1.9673 Co
-2.1343 4.9751 -3.1470 O
0.7127 4.8375 -3.9117 O
-0.0718 6.1103 -1.3673 O
-0.9097 9.6994 -5.1327 O
-0.3146 3.3545 -1.7751 O
-1.1525 6.9436 -5.5404 O
-1.9370 8.2164 -2.9961 O
0.9100 8.0788 -3.7608 O